A plane-wave DFT calculation with GGA-PBE was carried out for an optimized crystal structure of HfZnCdTe2.

- formation energy (no corrections) (eV per atom) = 0.559

Cell and atoms, written as CIF:
```
data_HfZnCdTe2
_chemical_formula_sum 'Hf1 Zn1 Cd1 Te2'
_space_group_name_H-M_alt 'P 1'
_space_group_IT_number 1
_cell_length_a 5.321
_cell_length_b 5.321
_cell_length_c 4.844
_cell_angle_alpha 90.00
_cell_angle_beta 90.00
_cell_angle_gamma 90.00
loop_
_space_group_symop_operation_xyz
'x,y,z'
loop_
_atom_site_label
_atom_site_fract_x
_atom_site_fract_y
_atom_site_fract_z
Hf1 0.000 0.000 0.000
Zn1 0.500 0.500 0.500
Cd1 0.500 0.500 0.000
Te1 0.000 0.500 0.500
Te2 0.500 0.000 0.500
```

A plane-wave DFT calculation with GGA-PBE was carried out for an optimized crystal structure of KRh4Se8.

- formation energy (no corrections) (eV per atom) = -0.456

Cell and atoms, written as CIF:
```
data_KRh4Se8
_chemical_formula_sum 'K1 Rh4 Se8'
_space_group_name_H-M_alt 'P 1'
_space_group_IT_number 1
_cell_length_a 9.066
_cell_length_b 9.066
_cell_length_c 9.066
_cell_angle_alpha 47.34
_cell_angle_beta 47.34
_cell_angle_gamma 47.34
loop_
_space_group_symop_operation_xyz
'x,y,z'
loop_
_atom_site_label
_atom_site_fract_x
_atom_site_fract_y
_atom_site_fract_z
K1 0.000 0.000 0.000
Rh1 0.000 0.000 0.500
Rh2 0.000 0.500 0.000
Rh3 0.500 0.000 0.000
Rh4 0.500 0.500 0.500
Se1 0.223 0.223 0.223
Se2 0.224 0.723 0.723
Se3 0.277 0.277 0.776
Se4 0.277 0.776 0.277
Se5 0.723 0.224 0.723
Se6 0.723 0.723 0.224
Se7 0.776 0.277 0.277
Se8 0.777 0.777 0.777
```

A plane-wave DFT calculation with GGA-PBE was carried out for an optimized crystal structure of Li3In4Hg2.

- E_form (eV per atom) = -0.19

Cell and atoms, written as CIF:
```
data_Li3In4Hg2
_chemical_formula_sum 'Li6 In8 Hg4'
_space_group_name_H-M_alt 'P 1'
_space_group_IT_number 1
_cell_length_a 8.918
_cell_length_b 8.918
_cell_length_c 5.228
_cell_angle_alpha 98.80
_cell_angle_beta 98.80
_cell_angle_gamma 77.97
loop_
_space_group_symop_operation_xyz
'x,y,z'
loop_
_atom_site_label
_atom_site_fract_x
_atom_site_fract_y
_atom_site_fract_z
Li1 0.111 0.889 0.750
Li2 0.197 0.464 0.921
Li3 0.464 0.197 0.421
Li4 0.536 0.803 0.579
Li5 0.803 0.536 0.079
Li6 0.889 0.111 0.250
In1 0.103 0.338 0.367
In2 0.317 0.569 0.474
In3 0.338 0.103 0.867
In4 0.431 0.683 0.026
In5 0.569 0.317 0.974
In6 0.662 0.897 0.133
In7 0.683 0.431 0.526
In8 0.897 0.662 0.633
Hg1 0.018 0.760 0.187
Hg2 0.240 0.982 0.313
Hg3 0.760 0.018 0.687
Hg4 0.982 0.240 0.813
```

A plane-wave DFT calculation with GGA-PBE was carried out for an optimized crystal structure of PaMn2Nb.

- relative energy among the computed polymorphs (meV/atom) = 20
- E_form (eV per atom) = 0.10

Cell and atoms, written as CIF:
```
data_PaMn2Nb
_chemical_formula_sum 'Pa4 Mn8 Nb4'
_space_group_name_H-M_alt 'P 1'
_space_group_IT_number 1
_cell_length_a 6.392
_cell_length_b 6.392
_cell_length_c 6.392
_cell_angle_alpha 90.00
_cell_angle_beta 90.00
_cell_angle_gamma 90.00
loop_
_space_group_symop_operation_xyz
'x,y,z'
loop_
_atom_site_label
_atom_site_fract_x
_atom_site_fract_y
_atom_site_fract_z
Pa1 0.000 0.000 0.000
Pa2 0.000 0.500 0.500
Pa3 0.500 0.000 0.500
Pa4 0.500 0.500 0.000
Mn1 0.250 0.250 0.250
Mn2 0.250 0.250 0.750
Mn3 0.250 0.750 0.250
Mn4 0.250 0.750 0.750
Mn5 0.750 0.250 0.250
Mn6 0.750 0.250 0.750
Mn7 0.750 0.750 0.250
Mn8 0.750 0.750 0.750
Nb1 0.000 0.000 0.500
Nb2 0.000 0.500 0.000
Nb3 0.500 0.000 0.000
Nb4 0.500 0.500 0.500
```

A plane-wave DFT calculation with GGA-PBE was carried out for an optimized crystal structure of Dy3Y3MgSe8.

- formation energy (no corrections) (eV per atom) = -1.761

Cell and atoms, written as CIF:
```
data_Dy3Y3MgSe8
_chemical_formula_sum 'Dy3 Y3 Mg1 Se8'
_space_group_name_H-M_alt 'P 1'
_space_group_IT_number 1
_cell_length_a 8.128
_cell_length_b 8.128
_cell_length_c 8.128
_cell_angle_alpha 59.95
_cell_angle_beta 59.95
_cell_angle_gamma 59.95
loop_
_space_group_symop_operation_xyz
'x,y,z'
loop_
_atom_site_label
_atom_site_fract_x
_atom_site_fract_y
_atom_site_fract_z
Dy1 0.000 0.500 0.500
Dy2 0.500 0.000 0.500
Dy3 0.500 0.500 0.000
Y1 0.000 0.000 0.500
Y2 0.000 0.500 0.000
Y3 0.500 0.000 0.000
Mg1 0.000 0.000 0.000
Se1 0.243 0.243 0.756
Se2 0.243 0.756 0.243
Se3 0.244 0.757 0.757
Se4 0.250 0.250 0.250
Se5 0.750 0.750 0.750
Se6 0.756 0.243 0.243
Se7 0.757 0.244 0.757
Se8 0.757 0.757 0.244
```

A plane-wave DFT calculation with GGA-PBE was carried out for an optimized crystal structure of NdDyCdPb.

- E_form (eV per atom) = -0.41

Cell and atoms, written as CIF:
```
data_NdDyCdPb
_chemical_formula_sum 'Nd4 Dy4 Cd4 Pb4'
_space_group_name_H-M_alt 'P 1'
_space_group_IT_number 1
_cell_length_a 7.665
_cell_length_b 7.665
_cell_length_c 7.665
_cell_angle_alpha 90.00
_cell_angle_beta 90.00
_cell_angle_gamma 90.00
loop_
_space_group_symop_operation_xyz
'x,y,z'
loop_
_atom_site_label
_atom_site_fract_x
_atom_site_fract_y
_atom_site_fract_z
Nd1 0.000 0.000 0.000
Nd2 0.000 0.500 0.500
Nd3 0.500 0.000 0.500
Nd4 0.500 0.500 0.000
Dy1 0.000 0.000 0.500
Dy2 0.000 0.500 0.000
Dy3 0.500 0.000 0.000
Dy4 0.500 0.500 0.500
Cd1 0.250 0.250 0.250
Cd2 0.250 0.750 0.750
Cd3 0.750 0.250 0.750
Cd4 0.750 0.750 0.250
Pb1 0.250 0.250 0.750
Pb2 0.250 0.750 0.250
Pb3 0.750 0.250 0.250
Pb4 0.750 0.750 0.750
```

A plane-wave DFT calculation with GGA-PBE was carried out for an optimized crystal structure of Sc2NbPd9.

- E_form (eV per atom) = -0.73

Cell and atoms, written as CIF:
```
data_Sc2NbPd9
_chemical_formula_sum 'Sc2 Nb1 Pd9'
_space_group_name_H-M_alt 'P 1'
_space_group_IT_number 1
_cell_length_a 3.991
_cell_length_b 3.991
_cell_length_c 12.007
_cell_angle_alpha 90.00
_cell_angle_beta 90.00
_cell_angle_gamma 90.00
loop_
_space_group_symop_operation_xyz
'x,y,z'
loop_
_atom_site_label
_atom_site_fract_x
_atom_site_fract_y
_atom_site_fract_z
Sc1 0.000 0.000 0.163
Sc2 0.000 0.000 0.837
Nb1 0.000 0.000 0.500
Pd1 0.000 0.500 0.000
Pd2 0.000 0.500 0.339
Pd3 0.000 0.500 0.661
Pd4 0.500 0.000 0.000
Pd5 0.500 0.000 0.339
Pd6 0.500 0.000 0.661
Pd7 0.500 0.500 0.170
Pd8 0.500 0.500 0.500
Pd9 0.500 0.500 0.830
```

A plane-wave DFT calculation with GGA-PBE was carried out for an optimized crystal structure of Dy3PuTh2As6.

- E_form (eV per atom) = -1.42

Cell and atoms, written as CIF:
```
data_Dy3PuTh2As6
_chemical_formula_sum 'Dy3 Pu1 Th2 As6'
_space_group_name_H-M_alt 'P 1'
_space_group_IT_number 1
_cell_length_a 9.327
_cell_length_b 9.327
_cell_length_c 8.328
_cell_angle_alpha 102.76
_cell_angle_beta 102.76
_cell_angle_gamma 25.92
loop_
_space_group_symop_operation_xyz
'x,y,z'
loop_
_atom_site_label
_atom_site_fract_x
_atom_site_fract_y
_atom_site_fract_z
Dy1 0.000 0.000 0.000
Dy2 0.333 0.333 0.666
Dy3 0.667 0.667 0.334
Pu1 0.000 0.000 0.500
Th1 0.335 0.335 0.170
Th2 0.665 0.665 0.830
As1 0.166 0.166 0.087
As2 0.167 0.167 0.578
As3 0.498 0.498 0.750
As4 0.502 0.502 0.250
As5 0.833 0.833 0.422
As6 0.834 0.834 0.913
```

A plane-wave DFT calculation with GGA-PBE was carried out for an optimized crystal structure of BaLaEu2.

- relative energy among the computed polymorphs (meV/atom) = 47
- E_form (eV per atom) = 0.13

Cell and atoms, written as CIF:
```
data_BaLaEu2
_chemical_formula_sum 'Ba1 La1 Eu2'
_space_group_name_H-M_alt 'P 1'
_space_group_IT_number 1
_cell_length_a 6.393
_cell_length_b 6.393
_cell_length_c 4.380
_cell_angle_alpha 90.00
_cell_angle_beta 90.00
_cell_angle_gamma 90.00
loop_
_space_group_symop_operation_xyz
'x,y,z'
loop_
_atom_site_label
_atom_site_fract_x
_atom_site_fract_y
_atom_site_fract_z
Ba1 0.000 0.000 0.000
La1 0.500 0.500 0.000
Eu1 0.000 0.500 0.500
Eu2 0.500 0.000 0.500
```

A plane-wave DFT calculation with GGA-PBE was carried out for an optimized crystal structure of Pm3Er2Sc4.

- E_form (eV per atom) = 0.06

Cell and atoms, written as CIF:
```
data_Pm3Er2Sc4
_chemical_formula_sum 'Pm3 Er2 Sc4'
_space_group_name_H-M_alt 'P 1'
_space_group_IT_number 1
_cell_length_a 7.694
_cell_length_b 7.694
_cell_length_c 7.729
_cell_angle_alpha 107.36
_cell_angle_beta 107.36
_cell_angle_gamma 36.75
loop_
_space_group_symop_operation_xyz
'x,y,z'
loop_
_atom_site_label
_atom_site_fract_x
_atom_site_fract_y
_atom_site_fract_z
Pm1 0.000 0.000 0.000
Pm2 0.111 0.111 0.660
Pm3 0.889 0.889 0.340
Er1 0.333 0.333 0.997
Er2 0.667 0.667 0.003
Sc1 0.221 0.221 0.339
Sc2 0.440 0.440 0.662
Sc3 0.560 0.560 0.338
Sc4 0.779 0.779 0.661
```

A plane-wave DFT calculation with GGA-PBE was carried out for an optimized crystal structure of PmNi9Sn2.

- relative energy among the computed polymorphs (meV/atom) = 31
- E_form (eV per atom) = -0.21

Cell and atoms, written as CIF:
```
data_PmNi9Sn2
_chemical_formula_sum 'Pm1 Ni9 Sn2'
_space_group_name_H-M_alt 'P 1'
_space_group_IT_number 1
_cell_length_a 8.373
_cell_length_b 8.373
_cell_length_c 8.373
_cell_angle_alpha 34.50
_cell_angle_beta 34.50
_cell_angle_gamma 34.50
loop_
_space_group_symop_operation_xyz
'x,y,z'
loop_
_atom_site_label
_atom_site_fract_x
_atom_site_fract_y
_atom_site_fract_z
Pm1 0.000 0.000 0.000
Ni1 0.081 0.587 0.587
Ni2 0.334 0.334 0.334
Ni3 0.413 0.413 0.919
Ni4 0.413 0.919 0.413
Ni5 0.500 0.500 0.500
Ni6 0.587 0.081 0.587
Ni7 0.587 0.587 0.081
Ni8 0.666 0.666 0.666
Ni9 0.919 0.413 0.413
Sn1 0.139 0.139 0.139
Sn2 0.861 0.861 0.861
```

A plane-wave DFT calculation with GGA-PBE was carried out for an optimized crystal structure of CeScAgIr.

- E_form (eV per atom) = -0.44

Cell and atoms, written as CIF:
```
data_CeScAgIr
_chemical_formula_sum 'Ce4 Sc4 Ag4 Ir4'
_space_group_name_H-M_alt 'P 1'
_space_group_IT_number 1
_cell_length_a 6.945
_cell_length_b 6.945
_cell_length_c 6.945
_cell_angle_alpha 90.00
_cell_angle_beta 90.00
_cell_angle_gamma 90.00
loop_
_space_group_symop_operation_xyz
'x,y,z'
loop_
_atom_site_label
_atom_site_fract_x
_atom_site_fract_y
_atom_site_fract_z
Ce1 0.000 0.000 0.000
Ce2 0.000 0.500 0.500
Ce3 0.500 0.000 0.500
Ce4 0.500 0.500 0.000
Sc1 0.000 0.000 0.500
Sc2 0.000 0.500 0.000
Sc3 0.500 0.000 0.000
Sc4 0.500 0.500 0.500
Ag1 0.250 0.250 0.250
Ag2 0.250 0.750 0.750
Ag3 0.750 0.250 0.750
Ag4 0.750 0.750 0.250
Ir1 0.250 0.250 0.750
Ir2 0.250 0.750 0.250
Ir3 0.750 0.250 0.250
Ir4 0.750 0.750 0.750
```